1.
First-principles (PBEsol) data for crystalline Li2MoIr at its relaxed geometry, as listed in Alexandria via LeMat-Bulk.

Distance to the lowest polymorph of the same formula ... 0 meV/atom
Space group ... P4mm (99)
Calculated total energy ... -25.10 eV per cell
Formation energy ... 0.106 eV/atom
Total magnetic moment ... 0.000 μB per atom

Lattice parameters (Å, degrees): 2.838 2.838 7.416 90.00 90.00 90.00
Atoms (fractional coordinates):
Li  0.500  0.500  0.239
Mo  0.000  0.000  0.534
Li  0.000  0.000  0.974
Ir  0.500  0.500  0.753


2.
First-principles (PBEsol) data for crystalline LiMo2Ir at its relaxed geometry, as listed in Alexandria via LeMat-Bulk.

Distance to the lowest polymorph of the same formula ... 0 meV/atom
Space group ... F-43m (216)
Calculated total energy ... -34.80 eV per cell
Formation energy ... 0.133 eV/atom
Total magnetic moment ... 0.000 μB per atom

Lattice parameters (Å, degrees): 4.290 4.290 4.290 60.00 60.00 60.00
Atoms (fractional coordinates):
Ir  0.500  0.500  0.500
Mo  0.000  0.000  0.000
Li  0.250  0.250  0.250
Mo  0.750  0.750  0.750


3.
First-principles (PBEsol) data for crystalline LiMoIr2 at its relaxed geometry, as listed in Alexandria via LeMat-Bulk.

Distance to the lowest polymorph of the same formula ... 141 meV/atom
Space group ... Cmmm (65)
Calculated total energy ... -33.53 eV per cell
Formation energy ... -0.036 eV/atom
Total magnetic moment ... 0.000 μB per atom

Lattice parameters (Å, degrees): 2.730 4.573 4.573 103.94 90.00 90.00
Atoms (fractional coordinates):
Mo  0.500  0.500  0.500
Li  0.500  0.000  0.000
Ir  0.000  0.500  0.000
Ir  0.000  0.000  0.500


4.
First-principles (PBEsol) data for crystalline LiMo2Ir at its relaxed geometry, as listed in Alexandria via LeMat-Bulk.

Distance to the lowest polymorph of the same formula ... 191 meV/atom
Space group ... Fm-3m (225)
Calculated total energy ... -34.03 eV per cell
Formation energy ... 0.324 eV/atom
Total magnetic moment ... 0.000 μB per atom

Lattice parameters (Å, degrees): 4.308 4.308 4.308 60.00 60.00 60.00
Atoms (fractional coordinates):
Ir  0.000  0.000  0.000
Mo  0.250  0.250  0.250
Li  0.500  0.500  0.500
Mo  0.750  0.750  0.750


5.
First-principles (PBEsol) data for crystalline Li2MoIr at its relaxed geometry, as listed in Alexandria via LeMat-Bulk.

Distance to the lowest polymorph of the same formula ... 52 meV/atom
Space group ... R-3m (166)
Calculated total energy ... -24.90 eV per cell
Formation energy ... 0.157 eV/atom
Total magnetic moment ... 0.000 μB per atom

Lattice parameters (Å, degrees): 2.638 2.638 9.494 82.01 82.01 60.00
Atoms (fractional coordinates):
Li  0.256  0.256  0.231
Mo  0.500  0.500  0.500
Li  0.744  0.744  0.769
Ir  0.000  0.000  0.000


6.
First-principles (PBEsol) data for crystalline LiMoIr2 at its relaxed geometry, as listed in Alexandria via LeMat-Bulk.

Distance to the lowest polymorph of the same formula ... 16 meV/atom
Space group ... Pmmm (47)
Calculated total energy ... -34.03 eV per cell
Formation energy ... -0.161 eV/atom
Total magnetic moment ... 0.000 μB per atom

Lattice parameters (Å, degrees): 2.773 3.514 5.559 90.00 90.00 90.00
Atoms (fractional coordinates):
Mo  0.500  0.500  0.500
Li  0.500  0.500  0.000
Ir  0.000  0.000  0.761
Ir  0.000  0.000  0.239


7.
First-principles (PBEsol) data for crystalline LiMo2IrO at its relaxed geometry, as listed in Alexandria via LeMat-Bulk.

Space group ... P4/mmm (123)
Calculated total energy ... -40.26 eV per cell
Raw formation energy ... 63 meV/atom
Total magnetic moment ... 0.000 μB per atom

Lattice parameters (Å, degrees): 3.967 3.967 4.235 90.00 90.00 90.00
Atoms (fractional coordinates):
Ir  0.000  0.000  0.500
Mo  0.500  0.000  0.000
O  0.000  0.000  0.000
Li  0.500  0.500  0.500
Mo  0.000  0.500  0.000


8.
First-principles (PBEsol) data for crystalline Li2IrN at its relaxed geometry, as listed in Alexandria via LeMat-Bulk.

Space group ... I-42d (122)
Calculated total energy ... -46.42 eV per cell
Raw formation energy ... -232 meV/atom
Total magnetic moment ... 0.000 μB per atom

Lattice parameters (Å, degrees): 3.714 5.862 5.862 84.24 71.53 71.53
Atoms (fractional coordinates):
Li  0.469  0.156  0.656
N  0.500  0.000  0.000
N  0.250  0.500  0.500
Ir  0.750  0.500  0.500
Li  0.875  0.656  0.844
Ir  0.000  0.000  0.000
Li  0.281  0.844  0.344
Li  0.375  0.344  0.156


9.
First-principles (PBEsol) data for crystalline LiIrN2 at its relaxed geometry, as listed in Alexandria via LeMat-Bulk.

Space group ... R-3m (166)
Calculated total energy ... -25.93 eV per cell
Raw formation energy ... 728 meV/atom
Total magnetic moment ... 0.000 μB per atom

Lattice parameters (Å, degrees): 2.860 2.860 6.581 77.45 77.45 60.00
Atoms (fractional coordinates):
N  0.094  0.094  0.719
N  0.906  0.906  0.281
Li  0.500  0.500  0.500
Ir  0.000  0.000  0.000


10.
First-principles (PBEsol) data for crystalline LiNbIr2 at its relaxed geometry, as listed in Alexandria via LeMat-Bulk.

Distance to the lowest polymorph of the same formula ... 0 meV/atom
Space group ... Fm-3m (225)
Calculated total energy ... -34.18 eV per cell
Formation energy ... -0.437 eV/atom
Total magnetic moment ... 0.000 μB per atom

Lattice parameters (Å, degrees): 4.319 4.319 4.319 60.00 60.00 60.00
Atoms (fractional coordinates):
Li  0.000  0.000  0.000
Ir  0.750  0.750  0.750
Ir  0.250  0.250  0.250
Nb  0.500  0.500  0.500


11.
First-principles (PBEsol) data for crystalline LiNbIr2 at its relaxed geometry, as listed in Alexandria via LeMat-Bulk.

Distance to the lowest polymorph of the same formula ... 661 meV/atom
Space group ... I-42d (122)
Calculated total energy ... -63.08 eV per cell
Formation energy ... 0.224 eV/atom
Total magnetic moment ... 0.000 μB per atom

Lattice parameters (Å, degrees): 5.482 5.555 5.555 75.91 60.43 60.43
Atoms (fractional coordinates):
Ir  0.635  0.490  0.990
Ir  0.115  0.510  0.010
Nb  0.000  0.000  0.000
Li  0.500  0.000  0.000
Nb  0.750  0.500  0.500
Ir  0.375  0.990  0.510
Li  0.250  0.500  0.500
Ir  0.875  0.010  0.490


12.
First-principles (PBEsol) data for crystalline LiNbIrOs2 at its relaxed geometry, as listed in Alexandria via LeMat-Bulk.

Space group ... P4/mmm (123)
Calculated total energy ... -42.36 eV per cell
Formation energy ... 0.937 eV/atom
Total magnetic moment ... 0.000 μB per atom

Lattice parameters (Å, degrees): 4.053 4.053 4.168 90.00 90.00 90.00
Atoms (fractional coordinates):
Os  0.500  0.000  0.000
Os  0.000  0.500  0.000
Li  0.000  0.000  0.000
Nb  0.000  0.000  0.500
Ir  0.500  0.500  0.500


13.
First-principles (PBEsol) data for crystalline LiNd2IrO6 at its relaxed geometry, as listed in Alexandria via LeMat-Bulk.

Space group ... P2_1/c (14)
Calculated total energy ... -153.87 eV per cell
Raw formation energy ... -2332 meV/atom
Total magnetic moment ... 0.200 μB per atom

Lattice parameters (Å, degrees): 5.353 5.763 7.665 90.00 90.57 90.00
Each line ends with the local moment (μB).
Atoms (fractional coordinates):
Li  0.000  0.000  0.000  0.00
Ir  0.500  0.500  0.000  1.06
O  0.301  0.190  0.453  0.11
Ir  0.000  0.000  0.500  1.06
Nd  0.481  0.926  0.251  0.01
O  0.199  0.690  0.047  0.11
Li  0.500  0.500  0.500  0.00
O  0.094  0.974  0.748  0.12
Nd  0.019  0.426  0.249  0.01
O  0.318  0.210  0.050  0.13
O  0.699  0.810  0.547  0.11
O  0.682  0.790  0.950  0.13
O  0.594  0.526  0.248  0.12
O  0.182  0.710  0.450  0.13
O  0.406  0.474  0.752  0.12
O  0.906  0.026  0.252  0.12
Nd  0.519  0.074  0.749  0.01
O  0.818  0.290  0.550  0.13
O  0.801  0.310  0.953  0.11
Nd  0.981  0.574  0.751  0.01


14.
First-principles (PBEsol) data for crystalline LiNi3Ir at its relaxed geometry, as listed in Alexandria via LeMat-Bulk.

Space group ... Pm-3m (221)
Calculated total energy ... -26.31 eV per cell
Formation energy ... 0.791 eV/atom
Total magnetic moment ... 0.333 μB per atom

Lattice parameters (Å, degrees): 3.800 3.800 3.800 90.00 90.00 90.00
Each line ends with the local moment (μB).
Atoms (fractional coordinates):
Ni  0.000  0.000  0.500  0.43
Ni  0.000  0.500  0.000  0.43
Li  0.000  0.000  0.000  -0.02
Ir  0.500  0.500  0.500  0.42
Ni  0.500  0.000  0.000  0.43


15.
First-principles (PBEsol) data for crystalline LiNi2Ir at its relaxed geometry, as listed in Alexandria via LeMat-Bulk.

Space group ... Cm (8)
Calculated total energy ... -24.38 eV per cell
Formation energy ... -0.068 eV/atom
Total magnetic moment ... 0.001 μB per atom

Lattice parameters (Å, degrees): 2.538 4.402 4.778 115.29 105.40 90.00
Atoms (fractional coordinates):
Ni  0.007  0.918  0.014
Ni  0.749  0.343  0.497
Ir  0.492  0.405  0.984
Li  0.252  0.834  0.505